First-principles (PBE) data for a geometry-optimized ReAg2Se structure, as listed in Alexandria.

Values from the calculation:
Raw formation energy, eV per atom: 0.590

Lattice parameters (Å, degrees): 2.7633 2.7633 9.4248 90.00 90.00 90.00
Last column: nearest neighbours and their distance in Å.
Fractional positions:
Ag 0.0000 0.0000 0.0185  4 Ag 2.76, 4 Re 2.93
Ag 0.0000 0.0000 0.4815  4 Ag 2.76, 4 Re 2.93
Re 0.5000 0.5000 0.2500  4 Re 2.76, 8 Ag 2.93
Se 0.5000 0.5000 0.7500  4 Se 2.76

First-principles (PBE) data for a geometry-optimized Sb2PWI structure, as listed in Alexandria.

Values from the calculation:
Raw formation energy, eV per atom: 1.514
Offset from the most stable computed form, meV per atom: 402

Lattice parameters (Å, degrees): 5.1683 5.1683 5.1241 90.00 90.00 90.00
Last column: nearest neighbours and their distance in Å.
Fractional positions:
I 0.0000 0.0000 0.5000  2 P 2.56
Sb 0.0000 0.5000 0.0000  2 P 2.58
Sb 0.5000 0.0000 0.0000  2 P 2.58
W 0.5000 0.5000 0.5000  8 Sb 3.64, 4 I 3.65
P 0.0000 0.0000 0.0000  2 I 2.56, 4 Sb 2.58

First-principles (PBE) data for a geometry-optimized Tb2CeLu structure, as listed in Alexandria.

Values from the calculation:
ΔE_f, meV per atom: 62
Offset from the most stable computed form, meV per atom: 0

Lattice parameters (Å, degrees): 3.5067 3.5067 9.9793 90.00 90.00 90.00
Last column: nearest neighbours and their distance in Å.
Fractional positions:
Lu 0.5000 0.5000 0.0000  4 Lu 3.51, 8 Tb 3.53
Tb 0.0000 0.0000 0.7478  4 Ce 3.50, 4 Tb 3.51, 4 Lu 3.53
Tb 0.0000 0.0000 0.2522  4 Ce 3.50, 4 Tb 3.51, 4 Lu 3.53
Ce 0.5000 0.5000 0.5000  8 Tb 3.50, 4 Ce 3.51

First-principles (PBE) data for a geometry-optimized Nd2ScGe4Pd3 structure, as listed in Alexandria.

Values from the calculation:
ΔE_f, meV per atom: -829

Lattice parameters (Å, degrees): 4.2528 4.2528 11.1691 90.00 90.00 90.00
Last column: nearest neighbours and their distance in Å.
Fractional positions:
Nd 0.5000 0.0000 0.2376  8 Ge 3.25-3.40, 6 Pd 3.26-3.62, 2 Sc 3.62
Nd 0.0000 0.5000 0.7624  8 Ge 3.25-3.40, 6 Pd 3.26-3.62, 2 Sc 3.62
Sc 0.5000 0.5000 0.5000  4 Ge 2.72, 4 Pd 3.01
Ge 0.5000 0.5000 0.0000  4 Pd 2.54
Ge 0.0000 0.0000 0.0000  4 Pd 2.54
Ge 0.5000 0.0000 0.6515  3 Pd 2.50-2.72, 2 Sc 2.72
Ge 0.0000 0.5000 0.3485  3 Pd 2.50-2.72, 2 Sc 2.72
Pd 0.0000 0.0000 0.5000  4 Ge 2.72, 4 Sc 3.01
Pd 0.5000 0.0000 0.8751  5 Ge 2.50-2.54
Pd 0.0000 0.5000 0.1249  5 Ge 2.50-2.54

no.,D(E_F) (states/eV/atom)
1,0.968
2,0.747
3,1.783
4,0.400